This record from the Alexandria database describes crystalline Ho4Er3Ni2 at its relaxed geometry. The functional is PBE-GGA.

Output
Size of the total moment ... 0.00 μB/f.u.
Energy of formation ... -179 meV per atom

Cell and atoms, written as CIF:
```
data_Ho4Er3Ni2
_space_group_name_H-M_alt 'C 1 2/m 1'
_space_group_IT_number 12
_cell_length_a 16.353
_cell_length_b 3.561
_cell_length_c 8.925
_cell_angle_alpha 90.00
_cell_angle_beta 112.98
_cell_angle_gamma 90.00
loop_
_space_group_symop_operation_xyz
'x,y,z'
'-x,-y,-z'
'-x,y,-z'
'x,-y,z'
'x+1/2,y+1/2,z'
'-x+1/2,-y+1/2,-z'
'-x+1/2,y+1/2,-z'
'x+1/2,-y+1/2,z'
loop_
_atom_site_label
_atom_site_type_symbol
_atom_site_fract_x
_atom_site_fract_y
_atom_site_fract_z
_atom_site_occupancy
Ho1 Ho 0.135 0.000 0.394 1
Ho2 Ho 0.230 0.500 0.153 1
Er1 Er 0.000 0.500 0.000 1
Er2 Er 0.070 0.500 0.687 1
Ni1 Ni 0.118 0.000 0.939 1
```



This record from the Alexandria database describes crystalline ZnFe2Rh at its relaxed geometry. The functional is PBE-GGA.

Output
Size of the total moment ... 5.55 μB/f.u.
Energy of formation ... 6 meV per atom

Cell and atoms, written as CIF:
```
data_ZnFe2Rh
_space_group_name_H-M_alt 'C m m 2'
_space_group_IT_number 35
_cell_length_a 2.909
_cell_length_b 4.353
_cell_length_c 8.298
_cell_angle_alpha 90.00
_cell_angle_beta 90.00
_cell_angle_gamma 90.00
loop_
_space_group_symop_operation_xyz
'x,y,z'
'-x,-y,z'
'-x,y,z'
'x,-y,z'
'x+1/2,y+1/2,z'
'-x+1/2,-y+1/2,z'
'-x+1/2,y+1/2,z'
'x+1/2,-y+1/2,z'
loop_
_atom_site_label
_atom_site_type_symbol
_atom_site_fract_x
_atom_site_fract_y
_atom_site_fract_z
_atom_site_occupancy
Zn1 Zn 0.000 0.000 0.000 1
Fe1 Fe 0.000 0.000 0.484 1
Fe2 Fe 0.000 0.500 0.253 1
Rh1 Rh 0.000 0.500 0.739 1
```



Energy values (in eV per atom) by entry order: -5.0188; -6.3813.
DOS(E_F) values (in states/eV per atom) by entry order: 1.25; 0.91.